! CePu2HPb (PBE, relaxed); values from VASP
&SYSTEM
  ibrav = 0, nat = 5, ntyp = 4
/
ATOMIC_SPECIES
Ce 140.12 Ce.upf
Pu 244.00 Pu.upf
H 1.01 H.upf
Pb 207.20 Pb.upf
CELL_PARAMETERS angstrom
4.818 0.000 0.000
0.000 4.818 0.000
0.000 0.000 5.013
ATOMIC_POSITIONS crystal
Ce 0.000 0.000 0.000
Pu 0.000 0.500 0.500
Pu 0.500 0.000 0.500
H 0.000 0.000 0.500
Pb 0.500 0.500 0.000
! Space-group type: P4/mmm, No. 123
! Raw total energy (eV per cell): -42.983

---

! Ce4H3Rh12Pb (PBE, relaxed); values from VASP
&SYSTEM
  ibrav = 0, nat = 20, ntyp = 4
/
ATOMIC_SPECIES
Ce 140.12 Ce.upf
H 1.01 H.upf
Rh 102.91 Rh.upf
Pb 207.20 Pb.upf
CELL_PARAMETERS angstrom
-4.290 4.290 4.290
4.290 -4.290 4.290
4.290 4.290 -4.290
ATOMIC_POSITIONS crystal
Ce 0.000 0.000 0.500
Ce 0.000 0.500 0.000
Ce 0.500 0.000 0.000
Ce 0.500 0.500 0.500
H 0.000 0.500 0.500
H 0.500 0.000 0.500
H 0.500 0.500 0.000
Rh 0.000 0.299 0.299
Rh 0.000 0.701 0.701
Rh 0.250 0.500 0.750
Rh 0.250 0.750 0.500
Rh 0.299 0.000 0.299
Rh 0.299 0.299 0.000
Rh 0.500 0.250 0.750
Rh 0.500 0.750 0.250
Rh 0.701 0.000 0.701
Rh 0.701 0.701 0.000
Rh 0.750 0.250 0.500
Rh 0.750 0.500 0.250
Pb 0.000 0.000 0.000
! Space-group type: Im-3m, No. 229
! Raw total energy (eV per cell): -134.413

---

! CeH6Rh2Pb (PBE, relaxed); values from VASP
&SYSTEM
  ibrav = 0, nat = 20, ntyp = 4
/
ATOMIC_SPECIES
Ce 140.12 Ce.upf
H 1.01 H.upf
Rh 102.91 Rh.upf
Pb 207.20 Pb.upf
CELL_PARAMETERS angstrom
3.721 -6.062 0.000
3.721 6.062 0.000
-0.343 0.000 4.874
ATOMIC_POSITIONS crystal
Ce 0.202 0.798 0.750
Ce 0.798 0.202 0.250
H 0.025 0.424 0.918
H 0.093 0.157 0.060
H 0.109 0.435 0.515
H 0.157 0.093 0.560
H 0.424 0.025 0.418
H 0.435 0.109 0.015
H 0.565 0.891 0.985
H 0.576 0.975 0.582
H 0.843 0.907 0.440
H 0.891 0.565 0.485
H 0.907 0.843 0.940
H 0.975 0.576 0.082
Rh 0.120 0.285 0.757
Rh 0.285 0.120 0.257
Rh 0.715 0.880 0.743
Rh 0.880 0.715 0.243
Pb 0.414 0.586 0.250
Pb 0.586 0.414 0.750
! Space-group type: C2/c, No. 15
! Raw total energy (eV per cell): -93.792

---

! Ce6HRuPb2 (PBE, relaxed); values from VASP
&SYSTEM
  ibrav = 0, nat = 10, ntyp = 4
/
ATOMIC_SPECIES
Ce 140.12 Ce.upf
H 1.01 H.upf
Ru 101.07 Ru.upf
Pb 207.20 Pb.upf
CELL_PARAMETERS angstrom
5.131 0.000 0.000
0.000 5.131 0.000
0.000 0.000 10.160
ATOMIC_POSITIONS crystal
Ce 0.000 0.000 0.222
Ce 0.000 0.000 0.778
Ce 0.000 0.500 0.000
Ce 0.000 0.500 0.500
Ce 0.500 0.000 0.000
Ce 0.500 0.000 0.500
H 0.000 0.000 0.000
Ru 0.000 0.000 0.500
Pb 0.500 0.500 0.245
Pb 0.500 0.500 0.755
! Space-group type: P4/mmm, No. 123
! Raw total energy (eV per cell): -58.573

---

! Ce4Sm2H2Pb3 (PBE, relaxed); values from VASP
&SYSTEM
  ibrav = 0, nat = 11, ntyp = 4
/
ATOMIC_SPECIES
Ce 140.12 Ce.upf
Sm 150.36 Sm.upf
H 1.01 H.upf
Pb 207.20 Pb.upf
CELL_PARAMETERS angstrom
-2.330 2.330 13.371
2.330 -2.330 13.371
2.330 2.330 -13.371
ATOMIC_POSITIONS crystal
Ce 0.085 0.585 0.500
Ce 0.415 0.915 0.500
Ce 0.585 0.085 0.500
Ce 0.915 0.415 0.500
Sm 0.201 0.201 0.000
Sm 0.799 0.799 0.000
H 0.111 0.111 0.000
H 0.889 0.889 0.000
Pb 0.323 0.323 0.000
Pb 0.500 0.500 0.000
Pb 0.677 0.677 0.000
! Space-group type: I4/mmm, No. 139
! Raw total energy (eV per cell): -55.064

---

! Ce6TcHPb2 (PBE, relaxed); values from VASP
&SYSTEM
  ibrav = 0, nat = 10, ntyp = 4
/
ATOMIC_SPECIES
Ce 140.12 Ce.upf
Tc 98.00 Tc.upf
H 1.01 H.upf
Pb 207.20 Pb.upf
CELL_PARAMETERS angstrom
0.000 5.064 5.064
5.064 0.000 5.064
5.064 5.064 0.000
ATOMIC_POSITIONS crystal
Ce 0.237 0.237 0.763
Ce 0.237 0.763 0.237
Ce 0.237 0.763 0.763
Ce 0.763 0.237 0.237
Ce 0.763 0.237 0.763
Ce 0.763 0.763 0.237
Tc 0.500 0.500 0.500
H 0.000 0.000 0.000
Pb 0.250 0.250 0.250
Pb 0.750 0.750 0.750
! Space-group type: Fm-3m, No. 225
! Raw total energy (eV per cell): -59.104

---

! CeH3Pd (PBE, relaxed); values from VASP
&SYSTEM
  ibrav = 0, nat = 5, ntyp = 3
/
ATOMIC_SPECIES
Ce 140.12 Ce.upf
H 1.01 H.upf
Pd 106.42 Pd.upf
CELL_PARAMETERS angstrom
3.791 0.000 0.000
0.000 3.791 0.000
0.000 0.000 3.791
ATOMIC_POSITIONS crystal
Ce 0.000 0.000 0.000
H 0.000 0.500 0.500
H 0.500 0.000 0.500
H 0.500 0.500 0.000
Pd 0.500 0.500 0.500
! Space-group type: Pm-3m, No. 221
! Raw total energy (eV per cell): -23.366

---

! CeH2Pd (PBE, relaxed); values from VASP
&SYSTEM
  ibrav = 0, nat = 8, ntyp = 3
/
ATOMIC_SPECIES
Ce 140.12 Ce.upf
H 1.01 H.upf
Pd 106.42 Pd.upf
CELL_PARAMETERS angstrom
1.921 -6.305 0.000
1.921 6.305 0.000
0.000 0.000 4.252
ATOMIC_POSITIONS crystal
Ce 0.148 0.852 0.750
Ce 0.852 0.148 0.250
H 0.056 0.944 0.250
H 0.246 0.754 0.250
H 0.754 0.246 0.750
H 0.944 0.056 0.750
Pd 0.428 0.572 0.750
Pd 0.572 0.428 0.250
! Space-group type: Cmcm, No. 63
! Relative energy among the computed polymorphs (eV per atom): 0.000

---

! CeH2Pd (PBE, relaxed); values from VASP
&SYSTEM
  ibrav = 0, nat = 4, ntyp = 3
/
ATOMIC_SPECIES
Ce 140.12 Ce.upf
H 1.01 H.upf
Pd 106.42 Pd.upf
CELL_PARAMETERS angstrom
2.103 1.214 3.826
-2.103 1.214 3.826
0.000 -2.429 3.826
ATOMIC_POSITIONS crystal
Ce 0.000 0.000 0.000
H 0.350 0.350 0.350
H 0.650 0.650 0.650
Pd 0.500 0.500 0.500
! Space-group type: R-3m, No. 166
! Relative energy among the computed polymorphs (eV per atom): 0.102

---

! CeHPd (PBE, relaxed); values from VASP
&SYSTEM
  ibrav = 0, nat = 3, ntyp = 3
/
ATOMIC_SPECIES
Ce 140.12 Ce.upf
H 1.01 H.upf
Pd 106.42 Pd.upf
CELL_PARAMETERS angstrom
3.906 0.000 0.000
-1.953 3.383 0.000
0.000 0.000 3.966
ATOMIC_POSITIONS crystal
Ce 0.000 0.000 0.000
H 0.667 0.333 0.998
Pd 0.333 0.667 0.500
! Space-group type: P3m1, No. 156
! Relative energy among the computed polymorphs (eV per atom): 0.123

---

! CeHPd (PBE, relaxed); values from VASP
&SYSTEM
  ibrav = 0, nat = 3, ntyp = 3
/
ATOMIC_SPECIES
Ce 140.12 Ce.upf
H 1.01 H.upf
Pd 106.42 Pd.upf
CELL_PARAMETERS angstrom
-1.764 1.764 4.407
1.764 -1.764 4.407
1.764 1.764 -4.407
ATOMIC_POSITIONS crystal
Ce 0.000 0.000 0.000
H 0.539 0.539 0.000
Pd 0.317 0.317 0.000
! Space-group type: I4mm, No. 107
! Relative energy among the computed polymorphs (eV per atom): 0.221

---

! CeHPd2 (PBE, relaxed); values from VASP
&SYSTEM
  ibrav = 0, nat = 4, ntyp = 3
/
ATOMIC_SPECIES
Ce 140.12 Ce.upf
H 1.01 H.upf
Pd 106.42 Pd.upf
CELL_PARAMETERS angstrom
1.508 0.871 7.601
-1.508 0.871 7.601
0.000 -1.741 7.601
ATOMIC_POSITIONS crystal
Ce 0.000 0.000 0.000
H 0.500 0.500 0.500
Pd 0.114 0.114 0.114
Pd 0.886 0.886 0.886
! Space-group type: R-3m, No. 166
! Raw total energy (eV per cell): -19.816